1.
First-principles (PBE) data for an optimized crystal structure of Rb2ThTe4, as listed in Alexandria via LeMat-Bulk.

a = 4.700 Å, b = 8.575 Å, c = 9.031 Å
α = 111.66°, β = 90.00°, γ = 90.00°
Sites, in units of the cell vectors:
Te1 0.500 0.983 0.824
Te2 0.000 0.469 0.164
Te3 0.500 0.159 0.319
Te4 0.000 0.674 0.979
Rb1 0.500 0.773 0.387
Rb2 0.500 0.370 0.756
Th1 0.000 0.071 0.072

Results
D(E_F) = 0.167 states/eV/atom
E_tot = -4.044 eV per atom
total magnetic moment = 0.00 μB/f.u.
symmetry = P2/m

***

2.
First-principles (PBE) data for an optimized crystal structure of RbSrCdC2, as listed in Alexandria via LeMat-Bulk.

a = 5.546 Å, b = 5.928 Å, c = 5.546 Å
α = 90.00°, β = 90.00°, γ = 90.00°
Sites, in units of the cell vectors:
Rb1 0.000 0.000 0.000
Sr1 0.500 0.500 0.500
C1 0.500 0.000 0.000
C2 0.000 0.000 0.500
Cd1 0.000 0.500 0.000

Results
D(E_F) = 0.324 states/eV/atom
ΔH_f (0 K) = 2.373 eV per atom
total magnetic moment = 4.98 μB/f.u.
symmetry = P4/mmm

***

3.
First-principles (PBE) data for an optimized crystal structure of Na3TmU2Te6, as listed in Alexandria via LeMat-Bulk.

a = 7.636 Å, b = 7.636 Å, c = 8.024 Å
α = 99.13°, β = 99.13°, γ = 120.00°
Sites, in units of the cell vectors:
U1 0.667 0.333 0.000
U2 0.333 0.667 0.000
Na1 0.168 0.832 0.500
Na2 0.500 0.500 0.500
Na3 0.832 0.168 0.500
Te1 0.594 0.922 0.765
Te2 0.250 0.250 0.766
Te3 0.078 0.406 0.235
Te4 0.406 0.078 0.235
Te5 0.922 0.594 0.765
Te6 0.750 0.750 0.234
Tm1 0.000 0.000 0.000

Results
D(E_F) = 1.029 states/eV/atom
E_tot = -5.087 eV per atom
total magnetic moment = 6.01 μB/f.u.
symmetry = C2/m

***

4.
First-principles (PBE) data for an optimized crystal structure of Rb2TiBrO, as listed in Alexandria via LeMat-Bulk.

a = 6.417 Å, b = 4.975 Å, c = 6.417 Å
α = 90.00°, β = 90.00°, γ = 90.00°
Sites, in units of the cell vectors:
Ti1 0.000 0.500 0.000
Rb1 0.000 0.000 0.500
Rb2 0.500 0.000 0.000
Br1 0.000 0.000 0.000
O1 0.500 0.500 0.500

Results
D(E_F) = 1.173 states/eV/atom
E_tot = -3.134 eV per atom
total magnetic moment = 3.24 μB/f.u.
symmetry = P4/mmm

***

5.
First-principles (PBE) data for an optimized crystal structure of CsYSe3, as listed in Alexandria via LeMat-Bulk.

a = 5.663 Å, b = 5.663 Å, c = 5.663 Å
α = 90.00°, β = 90.00°, γ = 90.00°
Sites, in units of the cell vectors:
Cs1 0.000 0.000 0.000
Y1 0.500 0.500 0.500
Se1 0.000 0.500 0.000
Se2 0.500 0.000 0.000
Se3 0.000 0.000 0.500

Results
D(E_F) = 0.295 states/eV/atom
distance to the lowest polymorph of the same formula = 1578.0 meV/atom
total magnetic moment = 0.00 μB/f.u.
symmetry = Pm-3m

***

6.
First-principles (PBE) data for an optimized crystal structure of Li2Ac3Hg2Pb4, as listed in Alexandria via LeMat-Bulk.

a = 5.055 Å, b = 5.055 Å, c = 15.963 Å
α = 90.00°, β = 90.00°, γ = 120.00°
Sites, in units of the cell vectors:
Pb1 0.333 0.667 0.883
Pb2 0.667 0.333 0.613
Pb3 0.333 0.667 0.387
Pb4 0.667 0.333 0.117
Hg1 0.667 0.333 0.824
Hg2 0.333 0.667 0.176
Ac1 0.000 0.000 0.281
Ac2 0.000 0.000 0.000
Ac3 0.000 0.000 0.719
Li1 0.667 0.333 0.432
Li2 0.333 0.667 0.568

Results
D(E_F) = 0.626 states/eV/atom
ΔH_f (0 K) = -0.363 eV per atom
total magnetic moment = 0.00 μB/f.u.
symmetry = P-3m1

***

7.
First-principles (PBE) data for an optimized crystal structure of Al2CoTcH, as listed in Alexandria via LeMat-Bulk.

a = 4.152 Å, b = 4.152 Å, c = 3.178 Å
α = 90.00°, β = 90.00°, γ = 90.00°
Sites, in units of the cell vectors:
H1 0.000 0.000 0.000
Tc1 0.500 0.500 0.500
Co1 0.000 0.000 0.500
Al1 0.500 0.000 0.000
Al2 0.000 0.500 0.000

Results
D(E_F) = 0.896 states/eV/atom
distance to the lowest polymorph of the same formula = 0.0 meV/atom
total magnetic moment = 0.00 μB/f.u.
symmetry = P4/mmm

***

8.
First-principles (PBE) data for an optimized crystal structure of CsPt2Pb2, as listed in Alexandria via LeMat-Bulk.

a = 8.905 Å, b = 8.905 Å, c = 3.399 Å
α = 90.00°, β = 90.00°, γ = 90.00°
Sites, in units of the cell vectors:
Pb1 0.362 0.138 0.500
Pb2 0.138 0.638 0.500
Pb3 0.862 0.362 0.500
Pb4 0.638 0.862 0.500
Cs1 0.000 0.000 0.000
Cs2 0.500 0.500 0.000
Pt1 0.370 0.870 0.000
Pt2 0.130 0.370 0.000
Pt3 0.870 0.630 0.000
Pt4 0.630 0.130 0.000

Results
D(E_F) = 0.410 states/eV/atom
ΔH_f (0 K) = 0.003 eV per atom
distance to the lowest polymorph of the same formula = 257.7 meV/atom
total magnetic moment = 0.00 μB/f.u.
symmetry = P4/mbm

***

9.
First-principles (PBE) data for an optimized crystal structure of Mg2GaB2Rh5, as listed in Alexandria via LeMat-Bulk.

a = 2.927 Å, b = 9.431 Å, c = 9.431 Å
α = 90.00°, β = 90.00°, γ = 90.00°
Sites, in units of the cell vectors:
Mg1 0.000 0.176 0.324
Mg2 0.000 0.824 0.676
Mg3 0.000 0.676 0.176
Mg4 0.000 0.324 0.824
Rh1 0.500 0.500 0.000
Rh2 0.500 0.784 0.929
Rh3 0.500 0.284 0.571
Rh4 0.500 0.071 0.784
Rh5 0.500 0.571 0.716
Rh6 0.500 0.216 0.071
Rh7 0.500 0.429 0.284
Rh8 0.500 0.929 0.216
Rh9 0.500 0.000 0.500
Rh10 0.500 0.716 0.429
B1 0.000 0.873 0.373
B2 0.000 0.373 0.127
B3 0.000 0.627 0.873
B4 0.000 0.127 0.627
Ga1 0.000 0.000 0.000
Ga2 0.000 0.500 0.500

Results
D(E_F) = 0.261 states/eV/atom
ΔH_f (0 K) = -0.667 eV per atom
total magnetic moment = 0.00 μB/f.u.
symmetry = P4/mbm

***

10.
First-principles (PBE) data for an optimized crystal structure of TeRhCl2, as listed in Alexandria via LeMat-Bulk.

a = 5.259 Å, b = 5.259 Å, c = 3.157 Å
α = 90.00°, β = 90.00°, γ = 110.45°
Sites, in units of the cell vectors:
Rh1 0.500 0.000 0.500
Te1 0.000 0.500 0.500
Cl1 0.000 0.000 0.000
Cl2 0.500 0.500 0.000

Results
D(E_F) = 0.924 states/eV/atom
distance to the lowest polymorph of the same formula = 984.2 meV/atom
total magnetic moment = 1.17 μB/f.u.
symmetry = Cmmm

***

11.
First-principles (PBE) data for an optimized crystal structure of Ce2ThTc, as listed in Alexandria via LeMat-Bulk.

a = 3.884 Å, b = 3.884 Å, c = 9.621 Å
α = 73.53°, β = 73.53°, γ = 51.97°
Sites, in units of the cell vectors:
Tc1 0.666 0.666 0.000
Ce1 0.037 0.037 0.809
Ce2 0.327 0.327 0.189
Th1 0.469 0.469 0.502

Results
D(E_F) = 1.741 states/eV/atom
ΔH_f (0 K) = 0.152 eV per atom
distance to the lowest polymorph of the same formula = 234.8 meV/atom
total magnetic moment = 0.00 μB/f.u.
symmetry = Cm

***

12.
First-principles (PBE) data for an optimized crystal structure of Zr2Hg2F, as listed in Alexandria via LeMat-Bulk.

a = 6.269 Å, b = 6.269 Å, c = 5.114 Å
α = 90.00°, β = 90.00°, γ = 90.00°
Sites, in units of the cell vectors:
Hg1 0.164 0.664 0.500
Hg2 0.836 0.336 0.500
Hg3 0.336 0.164 0.500
Hg4 0.664 0.836 0.500
Zr1 0.164 0.336 0.000
Zr2 0.664 0.164 0.000
Zr3 0.836 0.664 0.000
Zr4 0.336 0.836 0.000
F1 0.500 0.500 0.000
F2 0.000 0.000 0.000

Results
D(E_F) = 0.785 states/eV/atom
E_tot = -4.762 eV per atom
total magnetic moment = 0.00 μB/f.u.
symmetry = P4/mbm

***

Quick rundown of mass density, same order as above: 4.48; 2.82; 6.39; 2.55; 4.19; 9.05; 6.42; 11.55; 8.35; 6.12; 9.34; 9.96 g/cm³